Material: CsRbZn2Si
Method: DFT, PBE
State: optimized geometry

The calculation puts the final energy at -1.5586 eV per atom.

The structure belongs to space group P4/mmm (No. 123); the cell edges are 5.202, 5.202 and 6.636 Å and the angles 90.00°, 90.00° and 90.00°. The asymmetric unit holds Cs at (0.000, 0.000, 0.000), Rb at (0.500, 0.500, 0.000), Zn at (0.000, 0.500, 0.500) and Si at (0.000, 0.000, 0.500).

Material: Tb5Pr4Dy
Method: DFT, PBE
State: optimized geometry

As for the distance to the lowest polymorph of the same formula: 0.000 eV per atom. The calculation puts the final energy at -4.5026 eV per atom. The formation energy from the elements is 0.1846 eV per atom.

The structure belongs to space group C2/m (No. 12); the cell edges are 17.327, 3.559 and 11.346 Å and the angles 90.00°, 90.03° and 90.00°. The asymmetric unit holds Tb at (0.000, 0.000, 0.000), Tb at (0.173, 0.500, 0.550), Tb at (0.173, 0.500, 0.949), Pr at (0.032, 0.500, 0.750), Pr at (0.157, 0.000, 0.250) and Dy at (0.000, 0.000, 0.500).

Material: CuReOs2
Method: DFT, PBE
State: optimized geometry

As for the distance to the lowest polymorph of the same formula: 0.250 eV per atom. The calculation puts the final energy at -9.3202 eV per atom. The formation energy from the elements is 0.4308 eV per atom.

The structure belongs to space group Imm2 (No. 44); the cell edges are 2.898, 4.376 and 8.844 Å and the angles 90.00°, 90.00° and 90.00°. The asymmetric unit holds Cu at (0.000, 0.000, 0.000), Re at (0.000, 0.500, 0.259), Os at (0.000, 0.000, 0.499) and Os at (0.000, 0.500, 0.739).

Material: Ce4Nd2Rh9
Method: DFT, PBE
State: optimized geometry

The calculation puts the final energy at -7.2710 eV per atom. The formation energy from the elements is -0.6420 eV per atom.

The structure belongs to space group P-3m1 (No. 164); the cell edges are 4.5707, 4.5707 and 17.2571 Å and the angles 90.00°, 90.00° and 120.00°. The asymmetric unit holds Ce at (0.3333, 0.6667, 0.0994), Ce at (0.3333, 0.6667, 0.4058), Nd at (0.3333, 0.6667, 0.7517), Rh at (0.0000, 0.0000, 0.1609), Rh at (0.0000, 0.0000, 0.3339), Rh at (0.0000, 0.0000, 0.5000), Rh at (0.3333, 0.6667, 0.5784) and Rh at (0.3333, 0.6667, 0.9327).

Material: Pm4PrNd6
Method: DFT, PBE
State: optimized geometry

As for the distance to the lowest polymorph of the same formula: 0.000 eV per atom. The calculation puts the final energy at -4.6167 eV per atom. The formation energy from the elements is 0.1460 eV per atom.

The structure belongs to space group P-6m2 (No. 187); the cell edges are 11.1857, 11.1857 and 3.6496 Å and the angles 90.00°, 90.00° and 120.00°. The asymmetric unit holds Pm at (0.0000, 0.0000, 0.0000), Pm at (0.0133, 0.5066, 0.5000), Pr at (0.3333, 0.6667, 0.0000), Nd at (0.1488, 0.2977, 0.5000) and Nd at (0.3902, 0.1951, 0.0000).

Material: La2MgCd2
Method: DFT, PBE
State: optimized geometry

As for the distance to the lowest polymorph of the same formula: 0.000 eV per atom. The calculation puts the final energy at -2.9016 eV per atom. The formation energy from the elements is -0.2457 eV per atom.

The structure belongs to space group P4/mbm (No. 127); the cell edges are 7.719, 7.719 and 4.983 Å and the angles 90.00°, 90.00° and 90.00°. The asymmetric unit holds La at (0.159, 0.341, 0.000), Mg at (0.000, 0.000, 0.500) and Cd at (0.139, 0.639, 0.500).

Material: Mg16Al13
Method: DFT, PBE
State: optimized geometry

As for the distance to the lowest polymorph of the same formula: 0.009 eV per atom. The calculation puts the final energy at -2.5763 eV per atom. The formation energy from the elements is -0.0188 eV per atom.

The structure belongs to space group I-43m (No. 217); the cell edges are 10.512, 10.512 and 10.512 Å and the angles 90.00°, 90.00° and 90.00°. The asymmetric unit holds Mg at (0.043, 0.358, 0.358), Mg at (0.168, 0.168, 0.832), Al at (0.000, 0.000, 0.000) and Al at (0.091, 0.091, 0.277).

Material: NaSn4S8
Method: DFT, PBE
State: optimized geometry

As for the distance to the lowest polymorph of the same formula: 0.041 eV per atom. The calculation puts the final energy at -4.3144 eV per atom.

The structure belongs to space group F-43m (No. 216); the cell edges are 10.889, 10.889 and 10.889 Å and the angles 90.00°, 90.00° and 90.00°. The asymmetric unit holds Na at (0.000, 0.000, 0.000), Sn at (0.122, 0.122, 0.378), S at (0.120, 0.120, 0.620) and S at (0.137, 0.137, 0.137).